(1)
The following is a DFT calculation (PBE) of an optimized crystal structure of NaFeBrCl2.

a = 4.7859 Å, b = 4.7859 Å, c = 5.4431 Å
α = 90.00°, β = 90.00°, γ = 90.00°
Closest atoms and distances in Å follow each position.
Fractional positions:
Cl1 0.0000 0.5000 0.0000  2 Fe 2.39
Cl2 0.5000 0.0000 0.0000  2 Fe 2.39
Na1 0.5000 0.5000 0.5000  4 Br 3.38, 8 Cl 3.62
Fe1 0.0000 0.0000 0.0000  4 Cl 2.39
Br1 0.0000 0.0000 0.5000  2 Fe 2.72

Calculated values
DFT total energy   -19.65 eV per cell
Symmetry   P4/mmm, No. 123
Formation energy without anion corrections   -0.900 eV/atom


(2)
The following is a DFT calculation (PBE) of an optimized crystal structure of Fe2NiBr6Cl2.

a = 6.6006 Å, b = 6.6006 Å, c = 9.3116 Å
α = 90.00°, β = 90.00°, γ = 120.00°
Closest atoms and distances in Å follow each position.
Fractional positions:
Br1 0.0043 0.6919 0.8390  1 Fe 2.38, 1 Ni 2.54
Br2 0.3123 0.0043 0.1610  1 Fe 2.38, 1 Ni 2.54
Br3 0.6877 0.9957 0.8390  1 Fe 2.38, 1 Ni 2.54
Br4 0.6919 0.6877 0.1610  1 Fe 2.38, 1 Ni 2.54
Br5 0.3081 0.3123 0.8390  1 Fe 2.38, 1 Ni 2.54
Br6 0.9957 0.3081 0.1610  1 Fe 2.38, 1 Ni 2.54
Fe1 0.3333 0.6667 0.7579  1 Cl 2.14, 3 Br 2.38
Fe2 0.6667 0.3333 0.2421  1 Cl 2.14, 3 Br 2.38
Cl1 0.6667 0.3333 0.4717  1 Fe 2.14
Cl2 0.3333 0.6667 0.5283  1 Fe 2.14
Ni1 0.0000 0.0000 0.0000  6 Br 2.54

Calculated values
DFT total energy   -41.68 eV per cell
Symmetry   P-3, No. 147
Formation energy without anion corrections   -0.477 eV/atom


Repeat the second record exactly.
The following is a DFT calculation (PBE) of an optimized crystal structure of Fe2NiBr6Cl2.

a = 6.6006 Å, b = 6.6006 Å, c = 9.3116 Å
α = 90.00°, β = 90.00°, γ = 120.00°
Closest atoms and distances in Å follow each position.
Fractional positions:
Br1 0.0043 0.6919 0.8390  1 Fe 2.38, 1 Ni 2.54
Br2 0.3123 0.0043 0.1610  1 Fe 2.38, 1 Ni 2.54
Br3 0.6877 0.9957 0.8390  1 Fe 2.38, 1 Ni 2.54
Br4 0.6919 0.6877 0.1610  1 Fe 2.38, 1 Ni 2.54
Br5 0.3081 0.3123 0.8390  1 Fe 2.38, 1 Ni 2.54
Br6 0.9957 0.3081 0.1610  1 Fe 2.38, 1 Ni 2.54
Fe1 0.3333 0.6667 0.7579  1 Cl 2.14, 3 Br 2.38
Fe2 0.6667 0.3333 0.2421  1 Cl 2.14, 3 Br 2.38
Cl1 0.6667 0.3333 0.4717  1 Fe 2.14
Cl2 0.3333 0.6667 0.5283  1 Fe 2.14
Ni1 0.0000 0.0000 0.0000  6 Br 2.54

Calculated values
DFT total energy   -41.68 eV per cell
Symmetry   P-3, No. 147
Formation energy without anion corrections   -0.477 eV/atom


formation energy without anion corrections of number 2 (Fe2NiBr6Cl2)? -0.477 eV/atom


Which of these has the lowest DFT total energy? Fe2NiBr6Cl2